Entry 1:
# LaAl2Pt

Crystalline LaAl2Pt at its relaxed geometry (GGA-PBE, the Alexandria database).

Results
The calculation puts the density of states at the Fermi level at 2.7 states/eV/cell. The volume is 84 Å³/cell. The energy comes out at -5.124 eV/atom.

a = 4.228 Å, b = 4.228 Å, c = 4.717 Å
α = 90.00°, β = 90.00°, γ = 90.00°
Fractional positions:
Al (0.000, 0.000, 0.000)
Al (0.500, 0.500, 0.000)
Pt (0.000, 0.500, 0.500)
La (0.500, 0.000, 0.500)

Entry 2:
# PuTcB4

Crystalline PuTcB4 at its relaxed geometry (GGA-PBE, the Alexandria database).

Results
The calculation puts the density of states at the Fermi level at 32.3 states/eV/cell. The volume is 248 Å³/cell. The energy comes out at -9.105 eV/atom.

a = 3.577 Å, b = 5.983 Å, c = 11.582 Å
α = 90.00°, β = 90.00°, γ = 90.00°
Each line ends with the local moment (μB).
Fractional positions:
Pu (0.000, 0.627, 0.350)  4.58
Pu (0.000, 0.373, 0.650)  4.58
Pu (0.000, 0.127, 0.150)  4.58
Pu (0.000, 0.873, 0.850)  4.58
Tc (0.000, 0.635, 0.090)  -0.28
Tc (0.000, 0.365, 0.910)  -0.28
Tc (0.000, 0.135, 0.410)  -0.28
Tc (0.000, 0.865, 0.590)  -0.28
B (0.500, 0.788, 0.186)  -0.03
B (0.500, 0.212, 0.814)  -0.03
B (0.500, 0.288, 0.314)  -0.03
B (0.500, 0.712, 0.686)  -0.03
B (0.500, 0.865, 0.032)  -0.04
B (0.500, 0.135, 0.968)  -0.04
B (0.500, 0.365, 0.468)  -0.04
B (0.500, 0.635, 0.532)  -0.04
B (0.500, 0.886, 0.453)  -0.02
B (0.500, 0.114, 0.547)  -0.02
B (0.500, 0.386, 0.047)  -0.02
B (0.500, 0.614, 0.953)  -0.02
B (0.500, 0.975, 0.308)  -0.03
B (0.500, 0.025, 0.692)  -0.03
B (0.500, 0.475, 0.192)  -0.03
B (0.500, 0.525, 0.808)  -0.03

Entry 3:
# Ca2YNi

Crystalline Ca2YNi at its relaxed geometry (GGA-PBE, the Alexandria database).

Results
The calculation puts the density of states at the Fermi level at 4.2 states/eV/cell. The volume is 117 Å³/cell. The energy comes out at -4.073 eV/atom.

a = 6.583 Å, b = 6.583 Å, c = 5.728 Å
α = 64.22°, β = 64.22°, γ = 31.81°
Fractional positions:
Y (0.180, 0.180, 0.320)
Ni (0.509, 0.509, 0.490)
Ca (0.998, 0.998, 0.002)
Ca (0.813, 0.813, 0.687)